## La14DyAl (GGA-PBE)

Data for an optimized crystal structure of La14DyAl.

Results
DOS at the Fermi energy in states/eV per atom: 1.32
Final energy in eV per atom: -4.861
Total magnetization in μB per formula unit: 0.00
Formation enthalpy at 0 K in meV per atom: -28

Unit cell a=7.3025 b=7.3025 c=10.3451 alpha=90.00 beta=90.00 gamma=90.00
Space group P4/mmm (No. 123)
Inequivalent atoms, fractional coordinates:
1 La 0.0000 0.0000 0.0000 x1
2 La 0.0000 0.5000 0.0000 x2
3 La 0.0000 0.5000 0.5000 x2
4 La 0.2403 0.2403 0.2593 x8
5 La 0.5000 0.5000 0.0000 x1
6 Dy 0.5000 0.5000 0.5000 x1
7 Al 0.0000 0.0000 0.5000 x1